# 1
This record from the Alexandria database describes crystalline Tm2ThHg4 at its relaxed geometry. The functional is PBE.

a b c (Å): 5.1816 5.1816 7.2901
angles (deg): 90.00 90.00 90.00
Closest atoms and distances in Å follow each position.
Space group P4/mmm (No. 123)
One atom of each set of equivalent atoms:
1 Tm 0.0000 0.0000 0.0000  8 Hg 3.07
2 Tm 0.5000 0.5000 0.5000  8 Hg 3.27
3 Th 0.0000 0.0000 0.5000  8 Hg 3.27, 2 Tm 3.65
4 Hg 0.0000 0.5000 0.2265  4 Tm 3.07-3.27, 2 Th 3.27, 1 Hg 3.30

Values from the calculation:
energy of formation	-1.60	eV per formula unit
total magnetic moment	0.00	μB/cell
total DFT energy (no corrections)	-2.7382	eV per atom

=====

# 2
This record from the Alexandria database describes crystalline TmThHg2 at its relaxed geometry. The functional is PBE.

a b c (Å): 7.5352 7.5352 7.5352
angles (deg): 90.00 90.00 90.00
Closest atoms and distances in Å follow each position.
Space group Fm-3m (No. 225)
One atom of each set of equivalent atoms:
1 Tm 0.0000 0.0000 0.0000  8 Hg 3.26
2 Th 0.0000 0.0000 0.5000  8 Hg 3.26
3 Hg 0.2500 0.2500 0.2500  4 Th 3.26, 4 Tm 3.26

Values from the calculation:
E above lowest polymorph	0.0358	eV per atom
energy of formation	-1.23	eV per formula unit
total magnetic moment	3.31	μB/cell
total DFT energy (no corrections)	-3.4318	eV per atom